[1]
! Tb4CoCu3 (GGA-PBE, relaxed); values from VASP
! Total energy ... -4.975 eV/atom
! Formation energy from the elements ... -235.2 meV/atom
! Space group ... Pmm2 (25)
&SYSTEM
  ibrav = 0, nat = 8, ntyp = 3
/
ATOMIC_SPECIES
Tb 158.93 Tb.upf
Co 58.93 Co.upf
Cu 63.55 Cu.upf
CELL_PARAMETERS angstrom
3.743 0.000 0.000
0.000 4.388 0.000
0.000 0.000 10.355
ATOMIC_POSITIONS angstrom
Tb 0.000 0.000 0.000
Tb 0.000 2.194 2.775
Tb 1.872 0.000 4.955
Tb 1.872 2.194 7.999
Co 1.872 0.000 2.116
Cu 0.000 0.000 7.239
Cu 0.000 2.194 5.794
Cu 1.872 2.194 0.626

[2]
! Tb12Co6Cu (GGA-PBE, relaxed); values from VASP
! Total energy ... -5.546 eV/atom
! Distance to the lowest polymorph of the same formula ... 0.000 eV per atom
! Formation energy from the elements ... -162.3 meV/atom
! Space group ... Im-3 (204)
&SYSTEM
  ibrav = 0, nat = 19, ntyp = 3
/
ATOMIC_SPECIES
Tb 158.93 Tb.upf
Co 58.93 Co.upf
Cu 63.55 Cu.upf
CELL_PARAMETERS angstrom
-4.817 4.817 4.817
4.817 -4.817 4.817
4.817 4.817 -4.817
ATOMIC_POSITIONS angstrom
Tb 4.817 -1.911 2.947
Tb 2.905 1.870 0.000
Tb 6.728 1.870 0.000
Tb 2.947 4.817 -1.911
Tb 1.870 0.000 2.905
Tb 0.000 2.905 1.870
Tb 4.817 1.911 2.947
Tb 2.947 4.817 1.911
Tb 1.870 0.000 6.728
Tb -1.911 2.947 4.817
Tb 1.911 2.947 4.817
Tb 0.000 6.728 1.870
Co 4.817 0.000 1.097
Co 4.817 3.720 0.000
Co 1.097 4.817 0.000
Co 3.720 0.000 4.817
Co 0.000 1.097 4.817
Co 0.000 4.817 3.720
Cu 0.000 0.000 0.000

[3]
! Tb4Co2Cu5 (GGA-PBE, relaxed); values from VASP
! Total energy ... -5.026 eV/atom
! Formation energy from the elements ... -188.7 meV/atom
! Space group ... P2/m (10)
&SYSTEM
  ibrav = 0, nat = 11, ntyp = 3
/
ATOMIC_SPECIES
Tb 158.93 Tb.upf
Co 58.93 Co.upf
Cu 63.55 Cu.upf
CELL_PARAMETERS angstrom
6.687 0.000 0.000
0.000 3.980 0.000
-0.316 0.000 7.698
ATOMIC_POSITIONS angstrom
Tb 1.363 0.000 2.765
Tb 1.339 0.000 6.876
Tb 5.032 0.000 0.822
Tb 5.008 0.000 4.933
Co 0.433 1.990 1.029
Co 5.938 1.990 6.669
Cu 0.768 1.990 4.785
Cu 2.898 1.990 1.210
Cu 3.185 1.990 3.849
Cu 3.473 1.990 6.488
Cu 5.603 1.990 2.912

[4]
! TbCoCu (GGA-PBE, relaxed); values from VASP
! Total energy ... -5.467 eV/atom
! Formation energy from the elements ... -190.0 meV/atom
! Space group ... C2/m (12)
&SYSTEM
  ibrav = 0, nat = 6, ntyp = 3
/
ATOMIC_SPECIES
Tb 158.93 Tb.upf
Co 58.93 Co.upf
Cu 63.55 Cu.upf
CELL_PARAMETERS angstrom
7.274 -2.024 0.000
7.274 2.024 0.000
-1.011 0.000 3.718
ATOMIC_POSITIONS angstrom
Tb 1.324 0.000 1.361
Tb 12.212 0.000 2.356
Co 6.546 0.000 0.800
Co 6.990 0.000 2.917
Cu 4.258 0.000 0.174
Cu 9.278 0.000 3.543

Which of these has the highest total energy?
Tb4CoCu3